Entry 1:
First-principles (GGA-PBE) data for a relaxed Ac8IrPd3Br4 crystal, as listed in Alexandria via LeMat-Bulk.

Geometry as POSCAR:
```
Ac8IrPd3Br4
1.0
8.864 0.000 0.000
0.000 9.711 0.599
-4.432 -4.436 6.264
Ac Pd Ir Br
8 3 1 4
Cartesian
-2.272 2.467 6.487
4.432 4.706 3.330
2.160 2.807 0.376
4.432 0.532 3.587
0.000 0.568 3.533
0.000 4.742 3.276
6.704 2.807 0.376
2.272 2.467 6.487
4.432 4.855 0.299
2.216 2.637 3.431
-2.216 2.637 3.431
0.000 4.855 0.299
4.432 0.000 0.000
-2.216 -2.218 3.132
0.000 0.000 0.000
2.216 -2.218 3.132
```

Properties
Total magnetization, μB per atom: 0.0000
SG: C2/m
Formation energy from raw total energies, eV per atom: -1.13
Density of states at the Fermi level, states/eV/atom: 0.751

=====

Entry 2:
First-principles (GGA-PBE) data for a relaxed TbPm5SmTm2 crystal, as listed in Alexandria via LeMat-Bulk.

Geometry as POSCAR:
```
TbPm5SmTm2
1.0
-1.932 1.738 5.008
1.386 -10.384 0.961
10.029 1.644 3.298
Tm Pm Tb Sm
4 10 2 2
Cartesian
1.751 -6.151 5.988
3.277 -1.684 1.848
7.497 -0.891 3.201
7.551 -5.099 7.860
7.336 -1.962 6.689
7.320 -4.502 4.386
3.340 -4.845 2.970
1.472 0.872 3.443
7.838 -7.903 5.766
1.260 -2.648 4.583
4.389 -0.353 4.993
4.677 -7.471 7.575
0.577 -7.390 2.787
0.236 -0.281 0.188
4.916 -7.085 4.355
8.692 0.759 6.268
0.271 -3.793 1.421
4.404 -3.997 6.264
```

Properties
Total magnetization, μB per atom: 0.0000
SG: Cmc2_1
Density of states at the Fermi level, states/eV/atom: 1.587
E, eV per atom: -4.522

=====

Entry 3:
First-principles (GGA-PBE) data for a relaxed Zn4GeAu crystal, as listed in Alexandria via LeMat-Bulk.

Geometry as POSCAR:
```
Zn4GeAu
1.0
-2.335 3.375 3.170
-0.170 -0.924 5.100
2.827 2.884 3.253
Ge Zn Au
1 4 1
Cartesian
0.081 1.334 2.881
0.286 3.796 4.652
-1.212 1.893 5.575
0.201 3.334 7.201
1.368 1.647 5.617
0.000 0.000 0.000
```

Properties
Total magnetization, μB per atom: 0.0000
SG: F-43m
Density of states at the Fermi level, states/eV/atom: 0.331
E, eV per atom: -2.105

=====

Entry 4:
First-principles (GGA-PBE) data for a relaxed Tb3Y4Er4 crystal, as listed in Alexandria via LeMat-Bulk.

Geometry as POSCAR:
```
Tb3Y4Er4
1.0
3.530 -0.002 -0.300
-0.048 4.972 -0.623
-0.096 -0.050 19.751
Er Y Tb
4 4 3
Cartesian
2.489 3.593 8.320
0.301 0.443 3.524
3.085 4.477 15.304
0.896 1.327 10.509
0.599 0.886 7.031
2.787 4.034 11.797
1.892 2.707 1.307
1.494 2.213 17.522
0.000 0.000 0.000
2.190 3.147 4.805
1.196 1.772 14.023
```

Properties
Total magnetization, μB per atom: 0.0000
Energy above the lowest structure with this stoichiometry, meV per atom: 0
SG: Immm
Density of states at the Fermi level, states/eV/atom: 1.229

=====

Entry 5:
First-principles (GGA-PBE) data for a relaxed AcPmGdSb crystal, as listed in Alexandria via LeMat-Bulk.

Geometry as POSCAR:
```
AcPmGdSb
1.0
5.600 0.000 0.000
2.800 4.850 0.000
2.800 1.617 4.572
Ac Sb Gd Pm
1 1 1 1
Cartesian
5.600 3.233 2.286
0.000 0.000 0.000
2.800 1.617 1.143
8.400 4.850 3.429
```

Properties
Total magnetization, μB per atom: 1.7899
SG: F-43m
Formation energy from raw total energies, eV per atom: -0.27
Density of states at the Fermi level, states/eV/atom: 0.791

=====

Entry 6:
First-principles (GGA-PBE) data for a relaxed NaNb2Ga2 crystal, as listed in Alexandria via LeMat-Bulk.

Geometry as POSCAR:
```
NaNb2Ga2
1.0
8.262 0.000 0.000
0.000 8.262 0.000
0.000 0.000 2.832
Na Ga Nb
2 4 4
Cartesian
4.131 4.131 0.000
0.000 0.000 0.000
6.802 5.591 0.000
1.460 2.671 0.000
2.671 6.802 0.000
5.591 1.460 0.000
7.295 3.165 1.416
5.097 7.295 1.416
3.165 0.966 1.416
0.966 5.097 1.416
```

Properties
Total magnetization, μB per atom: 0.0000
Energy above the lowest structure with this stoichiometry, meV per atom: 0
SG: P4/mbm
Density of states at the Fermi level, states/eV/atom: 0.979

=====

Calculated volume (Å³/atom)
35.17 33.94 16.43 31.50 31.05 19.33